Record 1
An optimized crystal structure of AcTb2Zn. Source: Alexandria, functional PBE.

a = 3.678 Å, b = 3.678 Å, c = 8.967 Å
α = 90.00°, β = 90.00°, γ = 90.00°
Fractional positions:
Ac: 0.500 0.500 0.500
Tb: 0.000 0.000 0.807
Tb: 0.000 0.000 0.193
Zn: 0.500 0.500 0.000

Calculated values
E_form	-48	kJ/mol of formula units
raw total energy	-15.143	eV per cell
DOS(E_F)	5.742	states/eV per cell
energy above the lowest structure with this stoichiometry	0.00	eV/f.u.

Record 2
An optimized crystal structure of Gd3Y. Source: Alexandria, functional PBE.

a = 5.062 Å, b = 5.062 Å, c = 5.062 Å
α = 90.00°, β = 90.00°, γ = 90.00°
Fractional positions:
Y: 0.000 0.000 0.000
Gd: 0.000 0.500 0.500
Gd: 0.500 0.000 0.500
Gd: 0.500 0.500 0.000

Calculated values
E_form	15	kJ/mol of formula units
raw total energy	-48.546	eV per cell
DOS(E_F)	8.286	states/eV per cell
energy above the lowest structure with this stoichiometry	0.17	eV/f.u.

Record 3
An optimized crystal structure of RbAuIO2. Source: Alexandria, functional PBE.

a = 4.414 Å, b = 4.414 Å, c = 7.869 Å
α = 90.00°, β = 90.00°, γ = 90.00°
Fractional positions:
I: 0.000 0.000 0.500
Au: 0.500 0.500 0.500
O: 0.000 0.500 0.000
O: 0.500 0.000 0.000
Rb: 0.000 0.000 0.000

Calculated values
raw formation energy	776	meV per atom
raw total energy	-11.833	eV per cell
DOS(E_F)	4.830	states/eV per cell
energy above the lowest structure with this stoichiometry	3.61	eV/f.u.